Computed, not measured: an optimized crystal structure of Pm2SiF at the PBE-GGA level of DFT.

```
Pm2SiF
1.0
-4.2061 -5.7051 -0.3877
3.8553 -2.4943 -5.1222
1.9978 -2.0476 8.4568
Si Pm F
4 8 4
direct
0.2153 0.3279 0.0530
0.7153 0.1721 0.4470
0.2847 0.8279 0.5530
0.7847 0.6721 0.9470
0.4836 0.2690 0.7573
0.2947 0.3310 0.3835
0.0164 0.7690 0.2573
0.7947 0.1690 0.1165
0.2053 0.8310 0.8835
0.7053 0.6690 0.6165
0.9836 0.2310 0.7427
0.5164 0.7310 0.2427
0.7842 0.5813 0.3215
0.7158 0.0813 0.8215
0.2158 0.4187 0.6785
0.2842 0.9187 0.1785
```

Output
energy above the lowest structure with this stoichiometry	0.0	meV per atom
space-group type	P2_1/c (14)
total energy	-5.826	eV per atom

---

Computed, not measured: an optimized crystal structure of ZrHgSbTe2 at the PBE-GGA level of DFT.

```
ZrHgSbTe2
1.0
-5.4644 -1.1675 -0.0396
0.3520 -1.8263 5.2693
-1.1351 5.2482 1.8948
Sb Zr Hg Te
1 1 1 2
direct
0.0000 0.0000 0.5000
0.0000 0.0000 0.0000
0.5000 0.5000 0.5000
0.5000 0.0000 0.0000
0.0000 0.5000 0.0000
```

Output
energy above the lowest structure with this stoichiometry	0.0	meV per atom
space-group type	P4/mmm (123)
total energy	-3.898	eV per atom

---

Computed, not measured: an optimized crystal structure of PaInTe at the PBE-GGA level of DFT.

```
PaInTe
1.0
5.4644 0.0000 0.0000
-2.7322 2.7339 0.0000
0.0000 0.0000 10.5887
In Pa Te
2 2 2
direct
0.1944 0.3888 0.1688
0.1944 0.3888 0.8312
0.6944 0.3888 0.0000
0.1945 0.3889 0.5000
0.6945 0.3889 0.6600
0.6945 0.3889 0.3400
```

Output
energy above the lowest structure with this stoichiometry	232.0	meV per atom
space-group type	P4/mmm (123)
total energy	-5.381	eV per atom

---

Computed, not measured: an optimized crystal structure of HPdN2F at the PBE-GGA level of DFT.

```
HPdN2F
1.0
-2.1907 0.7154 -3.2806
-2.1424 -3.3140 0.7079
-2.8128 2.3280 2.3859
N H F Pd
2 1 1 1
direct
0.0000 0.5000 0.0000
0.5000 0.0000 0.0000
0.5000 0.5000 0.5000
0.0000 0.0000 0.5000
0.0000 0.0000 0.0000
```

Output
energy above the lowest structure with this stoichiometry	56.5	meV per atom
space-group type	P4/mmm (123)
total energy	-3.871	eV per atom

---

Computed, not measured: an optimized crystal structure of LiSm3S4 at the PBE-GGA level of DFT.

```
LiSm3S4
1.0
3.9762 0.0000 0.0000
0.0000 6.8777 -0.0647
0.0000 -2.2298 6.5066
S Sm Li
4 3 1
direct
0.5000 0.2447 0.7553
0.0000 0.2434 0.2434
0.0000 0.7566 0.7566
0.5000 0.7553 0.2447
0.5000 0.5000 0.5000
0.0000 0.0000 0.5000
0.0000 0.5000 0.0000
0.5000 0.0000 0.0000
```

Output
energy above the lowest structure with this stoichiometry	24.8	meV per atom
space-group type	Cmmm (65)
total energy	-6.000	eV per atom

---

Computed, not measured: an optimized crystal structure of TmSc4Cd at the PBE-GGA level of DFT.

```
TmSc4Cd
1.0
3.3260 0.0000 0.0000
0.0000 3.3260 0.0000
0.0000 0.0000 13.3750
Sc Cd Tm
4 1 1
direct
0.0000 0.0000 0.3477
0.0000 0.0000 0.6523
0.5000 0.5000 0.1798
0.5000 0.5000 0.8202
0.5000 0.5000 0.5000
0.0000 0.0000 0.0000
```

Output
energy above the lowest structure with this stoichiometry	0.0	meV per atom
space-group type	P4/mmm (123)
total energy	-5.184	eV per atom
formation enthalpy at 0 K	-65	meV/atom

---

Computed, not measured: an optimized crystal structure of Tb3Tm4Sc3 at the PBE-GGA level of DFT.

```
Tb3Tm4Sc3
1.0
-2.3859 0.9450 -2.5029
0.7686 -8.1528 -3.8110
-6.7038 -2.9989 5.2581
Tb Sc Tm
3 3 4
direct
0.0000 0.9979 0.4967
0.5000 0.1706 0.8294
0.0000 0.5033 0.0021
0.5000 0.3321 0.3285
0.5000 0.6715 0.6679
0.5000 0.8288 0.1712
0.0000 0.3787 0.6213
0.0000 0.1231 0.1354
0.0000 0.8646 0.8769
0.0000 0.6295 0.3705
```

Output
space-group type	Amm2 (38)
total energy	-4.993	eV per atom
formation enthalpy at 0 K	84	meV/atom

---

Computed, not measured: an optimized crystal structure of MnGaSiMo2 at the PBE-GGA level of DFT.

```
MnGaSiMo2
1.0
-3.6110 1.5229 -2.4616
0.2620 -3.5272 -2.5665
-2.8813 -2.2683 2.8233
Mo Mn Si Ga
2 1 1 1
direct
0.5000 0.0000 0.0000
0.0000 0.0000 0.5000
0.0000 0.5000 0.0000
0.5000 0.5000 0.5000
0.0000 0.0000 0.0000
```

Output
space-group type	P4/mmm (123)
total energy	-6.489	eV per atom

---

Computed, not measured: an optimized crystal structure of UTlAg2Se4 at the PBE-GGA level of DFT.

```
UTlAg2Se4
1.0
-5.5575 -2.7042 -3.3513
0.0380 -6.0995 -2.5159
-4.5272 -3.6698 3.0939
Se Ag U Tl
4 2 1 1
direct
0.1068 0.8964 0.4493
0.4526 0.1036 0.5507
0.5474 0.4493 0.8964
0.8932 0.5507 0.1036
0.8226 0.6774 0.6774
0.1774 0.3226 0.3226
0.5000 0.5000 0.5000
0.0000 0.0000 0.0000
```

Output
space-group type	I222 (23)
total energy	-4.556	eV per atom

---

Computed, not measured: an optimized crystal structure of ReMo2Se at the PBE-GGA level of DFT.

```
ReMo2Se
1.0
-0.2616 -2.6344 -1.3927
0.6066 -1.4159 2.5642
-6.7434 -0.1344 1.5211
Mo Se Re
2 1 1
direct
0.0000 0.0000 0.9956
0.0000 0.0000 0.5044
0.5000 0.5000 0.7500
0.5000 0.5000 0.2500
```

Output
space-group type	P4/mmm (123)
total energy	-9.331	eV per atom

---

Computed, not measured: an optimized crystal structure of Zr2TaAl at the PBE-GGA level of DFT.

```
Zr2TaAl
1.0
4.4525 0.0000 0.0000
0.0000 4.4504 0.0000
0.0000 0.0000 4.0083
Zr Ta Al
2 1 1
direct
0.0000 0.0000 0.0000
0.5000 0.5000 0.0000
0.0000 0.5000 0.5000
0.5000 0.0000 0.5000
```

Output
space-group type	P4/mmm (123)
total energy	-8.336	eV per atom
formation enthalpy at 0 K	-163	meV/atom

---

Computed, not measured: an optimized crystal structure of La3Pm2Sm at the PBE-GGA level of DFT.

```
La3Pm2Sm
1.0
-8.4420 -2.2352 2.3929
1.9604 -7.1059 0.2788
0.5865 4.2267 6.0171
Sm Pm La
2 4 6
direct
0.6696 0.3333 0.6667
0.3304 0.6667 0.3333
0.0000 0.5000 0.5000
0.0000 0.5000 0.0000
0.0000 0.0000 0.0000
0.0000 0.0000 0.5000
0.6683 0.3327 0.1664
0.6683 0.8336 0.1664
0.3317 0.1664 0.3327
0.3317 0.1664 0.8336
0.6683 0.8336 0.6673
0.3317 0.6673 0.8336
```

Output
energy above the lowest structure with this stoichiometry	0.0	meV per atom
space-group type	P-3m1 (164)
total energy	-4.820	eV per atom
formation enthalpy at 0 K	14	meV/atom

---

Computed, not measured: an optimized crystal structure of KHg2Ru at the PBE-GGA level of DFT.

```
KHg2Ru
1.0
3.0696 0.0000 0.0000
0.0000 5.9907 0.0000
0.0000 0.0000 5.2812
Hg K Ru
2 1 1
direct
0.5000 0.5000 0.0000
0.0000 0.0000 0.0000
0.5000 0.0000 0.5000
0.0000 0.5000 0.5000
```

Output
energy above the lowest structure with this stoichiometry	340.3	meV per atom
space-group type	Pmmm (47)
total energy	-2.023	eV per atom
formation enthalpy at 0 K	722	meV/atom

---

Computed, not measured: an optimized crystal structure of FeTeMoI2 at the PBE-GGA level of DFT.

```
FeTeMoI2
1.0
-5.0156 -1.7343 -1.1982
1.7346 -5.1529 0.1973
-1.0631 -0.1777 4.7075
Te Fe I Mo
1 1 2 1
direct
0.0000 0.0000 0.5000
0.0000 0.0000 0.0000
0.5000 0.0000 0.0000
0.0000 0.5000 0.0000
0.5000 0.5000 0.5000
```

Output
energy above the lowest structure with this stoichiometry	69.5	meV per atom
space-group type	P4/mmm (123)
total energy	-4.007	eV per atom

---

Computed, not measured: an optimized crystal structure of Tb2DyBr at the PBE-GGA level of DFT.

```
Tb2DyBr
1.0
3.6451 0.0000 0.0000
1.8225 3.1567 0.0000
1.8225 1.0522 10.2640
Tb Br Dy
2 1 1
direct
0.7426 0.7426 0.7721
0.2574 0.2574 0.2279
0.0000 0.0000 0.0000
0.5000 0.5000 0.5000
```

Output
space-group type	R-3m (166)
total energy	-4.408	eV per atom

---

Computed, not measured: an optimized crystal structure of NaSc2Pt at the PBE-GGA level of DFT.

```
NaSc2Pt
1.0
-8.2120 5.5667 -1.6895
-8.3658 5.1764 2.1210
-6.1866 7.9177 0.5614
Pt Sc Na
1 2 1
direct
0.5000 0.5000 0.5000
0.8809 0.8809 0.8809
0.1191 0.1191 0.1191
0.0000 0.0000 0.0000
```

Output
space-group type	R-3m (166)
total energy	-5.339	eV per atom
formation enthalpy at 0 K	-334	meV/atom

---

Computed, not measured: an optimized crystal structure of Ac8Ir3S4N at the PBE-GGA level of DFT.

```
Ac8Ir3S4N
1.0
-7.0483 -0.0352 4.7223
4.2733 -4.4076 6.3454
3.2320 7.3486 -2.7425
Ac S Ir N
8 4 3 1
direct
0.2485 0.2779 0.0132
0.7649 0.2780 0.5298
0.2352 0.7221 0.9868
0.2544 0.2630 0.5087
0.7648 0.2779 0.0132
0.7515 0.7221 0.9868
0.2351 0.7220 0.4702
0.7456 0.7370 0.4913
0.5000 0.0000 0.0000
0.0000 0.0000 0.5000
0.0000 0.0000 0.0000
0.5000 0.0000 0.5000
0.5000 0.5000 0.0000
0.0000 0.5000 0.5000
0.5000 0.5000 0.5000
0.0000 0.5000 0.0000
```

Output
space-group type	R-3m (166)
total energy	-6.603	eV per atom

---

Computed, not measured: an optimized crystal structure of TmScGa3 at the PBE-GGA level of DFT.

```
TmScGa3
1.0
4.1898 0.0000 0.0000
0.0000 3.7220 0.0000
0.0000 -1.8610 12.7903
Ga Tm Sc
6 2 2
direct
0.2500 0.3774 0.7547
0.7500 0.6226 0.2453
0.7500 0.5250 0.0501
0.2500 0.4750 0.9499
0.2500 0.6800 0.3599
0.7500 0.3200 0.6401
0.2500 0.0745 0.1490
0.7500 0.9255 0.8510
0.2500 0.7913 0.5827
0.7500 0.2087 0.4173
```

Output
space-group type	Cmcm (63)
total energy	-4.571	eV per atom
formation enthalpy at 0 K	-594	meV/atom

---

Computed, not measured: an optimized crystal structure of Ag5Hg12S3 at the PBE-GGA level of DFT.

```
Ag5Hg12S3
1.0
14.3796 0.0000 0.0000
-4.7932 13.5573 0.0000
-4.7932 -6.7786 11.7409
Hg Ag S
48 20 12
direct
0.9412 0.1136 0.8836
0.6723 0.4424 0.5588
0.3864 0.2701 0.3277
0.4412 0.0576 0.3277
0.1164 0.3864 0.0588
0.1136 0.1723 0.2299
0.7701 0.4424 0.3836
0.6136 0.7299 0.6723
0.6136 0.8836 0.4412
0.7299 0.6136 0.1723
0.5576 0.3277 0.9412
0.0576 0.4412 0.8277
0.8836 0.6136 0.9412
0.5588 0.9424 0.6723
0.7701 0.3277 0.8864
0.2701 0.8836 0.9424
0.5588 0.6164 0.3864
0.7299 0.1164 0.0576
0.4412 0.3836 0.6136
0.1723 0.1136 0.7299
0.8277 0.8864 0.2701
0.2299 0.5576 0.6164
0.0576 0.6164 0.7299
0.3836 0.4412 0.1136
0.3277 0.5576 0.4412
0.8277 0.9412 0.0576
0.8864 0.8277 0.7701
0.9412 0.8277 0.5576
0.6723 0.2299 0.6136
0.8864 0.0588 0.6164
0.1164 0.7299 0.5576
0.5576 0.2299 0.1164
0.3864 0.1164 0.5588
0.4424 0.7701 0.8836
0.6164 0.0576 0.2299
0.1136 0.9412 0.3836
0.4424 0.6723 0.0588
0.2701 0.3864 0.8277
0.3277 0.7701 0.3864
0.6164 0.5588 0.8864
0.9424 0.5588 0.1723
0.0588 0.1723 0.4424
0.0588 0.8864 0.1164
0.9424 0.3836 0.2701
0.1723 0.0588 0.9424
0.3836 0.9424 0.7701
0.8836 0.2701 0.4424
0.2299 0.6723 0.1136
0.5000 0.5000 0.5000
0.5000 0.0000 0.5000
0.0000 0.5000 0.0000
0.5000 0.5000 0.0000
0.8750 0.2500 0.6250
0.0000 0.0000 0.5000
0.1250 0.7500 0.3750
0.2500 0.3750 0.6250
0.6250 0.7500 0.8750
0.3750 0.1250 0.7500
0.0000 0.5000 0.5000
0.8750 0.6250 0.7500
0.5000 0.0000 0.0000
0.6250 0.8750 0.2500
0.2500 0.8750 0.1250
0.7500 0.6250 0.3750
0.0000 0.0000 0.0000
0.7500 0.1250 0.8750
0.3750 0.2500 0.1250
0.1250 0.3750 0.2500
0.7500 0.8750 0.6250
0.3750 0.7500 0.6250
0.2500 0.6250 0.8750
0.6250 0.2500 0.3750
0.3750 0.6250 0.2500
0.8750 0.1250 0.2500
0.1250 0.2500 0.8750
0.1250 0.8750 0.7500
0.7500 0.3750 0.1250
0.6250 0.3750 0.7500
0.8750 0.7500 0.1250
0.2500 0.1250 0.3750
```

Output
space-group type	Ia-3d (230)
total energy	-1.295	eV per atom

---

Computed, not measured: an optimized crystal structure of Pr2Al4Ga3Hg at the PBE-GGA level of DFT.

```
Pr2Al4Ga3Hg
1.0
4.3653 0.0000 0.0000
0.0000 4.3653 0.0000
0.0000 0.0000 11.0065
Hg Ga Pr Al
1 3 2 4
direct
0.5000 0.5000 0.5000
0.0000 0.0000 0.5000
0.0000 0.5000 0.1341
0.5000 0.0000 0.8659
0.0000 0.5000 0.7510
0.5000 0.0000 0.2490
0.5000 0.5000 0.0000
0.5000 0.0000 0.6390
0.0000 0.5000 0.3610
0.0000 0.0000 0.0000
```

Output
space-group type	P-4m2 (115)
total energy	-3.772	eV per atom
formation enthalpy at 0 K	-380	meV/atom